Tb2Pr3Ir2 PBE-GGA optimized geometry; calculated total energy = -44.8 eV per formula unit; total moment = 0.0 μB/f.u.; energy of formation = -501 meV per atom; Fermi-level density of states = 5.94 states/eV/f.u.
1.0
3.875 -0.002 -0.869
-2.371 5.869 -1.495
-0.074 0.333 8.742
Pr Ir Tb
3 2 2
Direct
0.812 0.196 0.427
0.500 0.000 0.000
0.188 0.804 0.573
0.052 0.865 0.237
0.948 0.135 0.763
0.640 0.468 0.814
0.360 0.532 0.186